Density functional theory data (PBE) for a relaxed structure of KAcHgF6.

Output
The density comes out at 5.3 g/cm3. Its crystal system is trigonal. As for the total magnetization: 0.00 μB/cell. The formation energy (no corrections) comes out at -2887 meV per atom.

Lattice parameters (Å, degrees): 6.5863 6.5863 9.6776 90.00 90.00 120.00
Space group P-31c (No. 163)
Inequivalent atoms, fractional coordinates:
1 K 0.0000 0.0000 0.0000
2 Ac 0.3333 0.6667 0.2500
3 Hg 0.3333 0.6667 0.7500
4 F 0.0090 0.3627 0.6337